CuSnSe2: relaxed, PBE.

Lattice parameters (Å, degrees): 4.0782 4.0783 7.2414 106.80 73.17 120.23
With the nearest neighbours (Å) after each atom.
Positions (direct):
Se  0.8358  0.3941  0.0740  3 Cu 2.43
Se  0.3571  0.8766  0.5269  1 Cu 2.47
Cu  0.4715  0.7578  0.1659  4 Se 2.43-2.47
Sn  0.6129  0.6209  0.7520  3 Se 2.81, 1 Cu 2.83

## Properties
Uncorrected energy: -4.02 eV/atom
SG: No. 1
Calculated volume: 24.525 Å³/atom
Total magnetic moment: 0.0 μB per formula unit

=====

Cu6SnSe8: relaxed, PBE.

Lattice parameters (Å, degrees): 6.8098 6.8098 6.8098 90.57 90.57 90.57
With the nearest neighbours (Å) after each atom.
Positions (direct):
Sn  0.0000  0.0000  0.0000  8 Se 2.95-3.27
Se  0.2679  0.6446  0.8246  4 Cu 2.43-2.59
Se  0.8246  0.2679  0.6446  4 Cu 2.43-2.59
Se  0.3554  0.1754  0.7321  4 Cu 2.43-2.59
Se  0.6446  0.8246  0.2679  4 Cu 2.43-2.59
Se  0.1754  0.7321  0.3554  4 Cu 2.43-2.59
Se  0.7476  0.7476  0.7476  3 Cu 2.45
Se  0.2524  0.2524  0.2524  3 Cu 2.45
Se  0.7321  0.3554  0.1754  4 Cu 2.43-2.59
Cu  0.5586  0.1632  0.4186  5 Se 2.43-2.59, 1 Cu 2.62
Cu  0.8368  0.5814  0.4414  5 Se 2.43-2.59, 1 Cu 2.62
Cu  0.1632  0.4186  0.5586  5 Se 2.43-2.59, 1 Cu 2.62
Cu  0.4186  0.5586  0.1632  5 Se 2.43-2.59, 1 Cu 2.62
Cu  0.5814  0.4414  0.8368  5 Se 2.43-2.59, 1 Cu 2.62
Cu  0.4414  0.8368  0.5814  5 Se 2.43-2.59, 1 Cu 2.62

## Properties
Uncorrected energy: -3.81 eV/atom
SG: No. 148
Calculated volume: 21.049 Å³/atom
Total magnetic moment: 0.0 μB per formula unit

=====

CuSnSe2: relaxed, PBE.

Lattice parameters (Å, degrees): 8.7366 8.7366 8.7366 23.59 23.59 23.59
With the nearest neighbours (Å) after each atom.
Positions (direct):
Sn  0.0000  0.0000  0.0000  2 Se 2.87
Se  0.1128  0.1128  0.1128  3 Cu 2.48
Se  0.8872  0.8872  0.8872  3 Cu 2.48
Cu  0.5000  0.5000  0.5000  6 Se 2.48

## Properties
Uncorrected energy: -3.78 eV/atom
SG: No. 166
Calculated volume: 23.439 Å³/atom
Total magnetic moment: 0.0 μB per formula unit

=====

Cu2Sn3Se4: relaxed, PBE.

Lattice parameters (Å, degrees): 4.0412 8.8467 7.7302 122.97 90.00 103.20
With the nearest neighbours (Å) after each atom.
Positions (direct):
Se  0.7908  0.5817  0.7947  3 Cu 2.53-2.61
Se  0.5358  0.0715  0.3154  1 Cu 2.52
Se  0.2092  0.4183  0.2053  3 Cu 2.53-2.61
Se  0.4642  0.9285  0.6846  1 Cu 2.52
Sn  0.0000  0.0000  0.0000  6 Se 2.95-3.02
Sn  0.1366  0.2732  0.6472  4 Se 2.95-3.01, 1 Cu 3.01
Sn  0.8634  0.7268  0.3528  4 Se 2.95-3.01, 1 Cu 3.01
Cu  0.3021  0.6043  0.6122  4 Se 2.52-2.61, 2 Cu 2.61
Cu  0.6979  0.3957  0.3878  4 Se 2.52-2.61, 2 Cu 2.61

## Properties
Uncorrected energy: -4.05 eV/atom
SG: No. 12
Calculated volume: 24.790 Å³/atom
Total magnetic moment: 0.0 μB per formula unit

=====

CuSn2Se: relaxed, PBE.

Lattice parameters (Å, degrees): 6.2396 6.2396 7.4944 65.40 65.40 90.00
With the nearest neighbours (Å) after each atom.
Positions (direct):
Sn  0.5868  0.1250  0.2500  2 Cu 2.54, 2 Se 2.82
Sn  0.8750  0.8368  0.7500  2 Cu 2.54, 2 Se 2.82
Sn  0.1632  0.6250  0.2500  2 Cu 2.54, 2 Se 2.82
Sn  0.3750  0.4132  0.7500  2 Cu 2.54, 2 Se 2.82
Cu  0.2500  0.7500  0.5000  4 Sn 2.54
Cu  0.5000  0.5000  0.0000  4 Sn 2.54
Se  0.7500  0.2500  0.5000  4 Sn 2.82
Se  0.0000  0.0000  0.0000  4 Sn 2.82

## Properties
Uncorrected energy: -3.87 eV/atom
SG: No. 122
Calculated volume: 29.482 Å³/atom
Total magnetic moment: 0.0 μB per formula unit

=====

CuSn4Se5: relaxed, PBE.

Lattice parameters (Å, degrees): 4.1499 4.1499 17.0605 83.01 83.01 60.00
With the nearest neighbours (Å) after each atom.
Positions (direct):
Se  0.0000  0.0000  0.0000  6 Sn 3.01
Se  0.1924  0.1924  0.4228  3 Cu 2.73, 3 Sn 2.94
Se  0.5958  0.5958  0.2126  6 Sn 2.98-3.03
Se  0.4042  0.4042  0.7874  6 Sn 2.98-3.03
Se  0.8076  0.8076  0.5772  3 Cu 2.73, 3 Sn 2.94
Sn  0.1075  0.1075  0.6776  6 Se 2.94-3.03
Sn  0.7025  0.7025  0.8926  6 Se 2.98-3.01
Sn  0.2975  0.2975  0.1074  6 Se 2.98-3.01
Sn  0.8925  0.8925  0.3224  6 Se 2.94-3.03
Cu  0.5000  0.5000  0.5000  6 Se 2.73

## Properties
Uncorrected energy: -4.08 eV/atom
SG: No. 166
Calculated volume: 25.192 Å³/atom
Total magnetic moment: 0.0 μB per formula unit

=====

CuSn3Se: relaxed, PBE.

Lattice parameters (Å, degrees): 5.0971 5.0971 5.0971 90.00 90.00 90.00
With the nearest neighbours (Å) after each atom.
Positions (direct):
Sn  0.0000  0.0000  0.5000  2 Cu 2.55
Sn  0.5000  0.0000  0.0000  2 Cu 2.55
Sn  0.0000  0.5000  0.0000  2 Cu 2.55
Cu  0.0000  0.0000  0.0000  6 Sn 2.55
Se  0.5000  0.5000  0.5000  12 Sn 3.60

## Properties
Uncorrected energy: -3.75 eV/atom
SG: No. 221
Calculated volume: 26.485 Å³/atom
ΔE to the lowest computed polymorph: 0.0 kJ/mol of atoms
Total magnetic moment: 0.0 μB per formula unit

=====

Cu4SnSe5: relaxed, PBE.

Lattice parameters (Å, degrees): 5.3753 6.4905 6.4905 80.13 65.54 65.54
With the nearest neighbours (Å) after each atom.
Positions (direct):
Se  0.8909  0.4290  0.7913  5 Cu 2.54-2.69, 1 Sn 2.82
Se  0.3198  0.7913  0.5710  5 Cu 2.54-2.69, 1 Sn 2.82
Se  0.1111  0.5710  0.2087  5 Cu 2.54-2.69, 1 Sn 2.82
Se  0.5010  0.0000  0.0000  4 Cu 2.67, 2 Sn 2.69
Se  0.6822  0.2087  0.4290  5 Cu 2.54-2.69, 1 Sn 2.82
Cu  0.2016  0.1896  0.4093  6 Se 2.54-2.69
Cu  0.6109  0.5907  0.1896  6 Se 2.54-2.69
Cu  0.8006  0.8104  0.5907  6 Se 2.54-2.69
Cu  0.3912  0.4093  0.8104  6 Se 2.54-2.69
Sn  0.0010  0.0000  0.0000  6 Se 2.69-2.82

## Properties
Uncorrected energy: -3.88 eV/atom
SG: No. 87
Calculated volume: 18.761 Å³/atom
Total magnetic moment: 0.0 μB per formula unit

=====

CuSn2Se6: relaxed, PBE.

Lattice parameters (Å, degrees): 6.5040 6.5040 11.3583 90.00 90.00 90.00
With the nearest neighbours (Å) after each atom.
Positions (direct):
Se  0.2041  0.7959  0.0000  2 Sn 2.65, 1 Cu 2.72
Se  0.3159  0.3159  0.8471  1 Cu 2.43, 1 Sn 2.67
Se  0.1841  0.8159  0.6529  1 Cu 2.43, 1 Sn 2.67
Se  0.7041  0.7041  0.5000  2 Sn 2.65, 1 Cu 2.72
Se  0.3159  0.3159  0.1529  1 Cu 2.43, 1 Sn 2.67
Se  0.1841  0.8159  0.3471  1 Cu 2.43, 1 Sn 2.67
Se  0.6841  0.6841  0.8471  1 Cu 2.43, 1 Sn 2.67
Se  0.8159  0.1841  0.3471  1 Cu 2.43, 1 Sn 2.67
Se  0.6841  0.6841  0.1529  1 Cu 2.43, 1 Sn 2.67
Se  0.2959  0.2959  0.5000  2 Sn 2.65, 1 Cu 2.72
Se  0.8159  0.1841  0.6529  1 Cu 2.43, 1 Sn 2.67
Se  0.7959  0.2041  0.0000  2 Sn 2.65, 1 Cu 2.72
Sn  0.5000  0.5000  0.6652  6 Se 2.65-2.91
Sn  0.0000  0.0000  0.1652  6 Se 2.65-2.91
Sn  0.5000  0.5000  0.3348  6 Se 2.65-2.91
Sn  0.0000  0.0000  0.8348  6 Se 2.65-2.91
Cu  0.0000  0.0000  0.5000  4 Se 2.43
Cu  0.5000  0.5000  0.0000  4 Se 2.43

## Properties
Uncorrected energy: -3.68 eV/atom
SG: No. 136
Calculated volume: 26.693 Å³/atom
Total magnetic moment: 0.0 μB per formula unit

=====

CuSn2Se3: relaxed, PBE.

Lattice parameters (Å, degrees): 4.1866 4.4757 8.8458 104.65 103.69 90.00
With the nearest neighbours (Å) after each atom.
Positions (direct):
Se  0.6452  0.5581  0.2904  1 Cu 2.51
Se  0.3548  0.2677  0.7096  1 Cu 2.51
Se  0.0000  0.9981  0.0000  2 Cu 2.40
Cu  0.5000  0.2597  0.0000  4 Se 2.40-2.51
Sn  0.1613  0.9910  0.3226  3 Se 2.78-2.82
Sn  0.8387  0.6683  0.6774  3 Se 2.78-2.82

## Properties
Uncorrected energy: -4.04 eV/atom
SG: No. 44
Calculated volume: 25.915 Å³/atom
ΔE to the lowest computed polymorph: 0.4 kJ/mol of atoms
Total magnetic moment: 0.0 μB per formula unit

=====

CuSn3Se4: relaxed, PBE.

Lattice parameters (Å, degrees): 6.0743 5.9682 11.3798 90.00 90.00 90.00
With the nearest neighbours (Å) after each atom.
Positions (direct):
Sn  0.0484  0.7362  0.7502  5 Se 2.82-3.09
Sn  0.5484  0.2638  0.7498  5 Se 2.82-3.09
Sn  0.5697  0.7630  0.0000  6 Se 2.88-3.20
Sn  0.0484  0.7362  0.2498  5 Se 2.82-3.09
Sn  0.5484  0.2638  0.2502  5 Se 2.82-3.09
Sn  0.0697  0.2370  0.5000  6 Se 2.88-3.20
Se  0.6021  0.2624  0.0000  1 Cu 2.39
Se  0.5958  0.2316  0.5000  1 Cu 2.39
Se  0.5854  0.7487  0.7305  1 Cu 2.76, 4 Sn 2.82-3.09
Se  0.0854  0.2513  0.2305  1 Cu 2.76, 4 Sn 2.82-3.09
Se  0.0854  0.2513  0.7695  1 Cu 2.76, 4 Sn 2.82-3.09
Se  0.1021  0.7376  0.5000  1 Cu 2.39
Se  0.0958  0.7684  0.0000  1 Cu 2.39
Se  0.5854  0.7487  0.2695  1 Cu 2.76, 4 Sn 2.82-3.09
Cu  0.9802  0.1518  0.0000  2 Se 2.39
Cu  0.4802  0.8482  0.5000  2 Se 2.39

## Properties
Uncorrected energy: -4.07 eV/atom
SG: No. 31
Calculated volume: 25.784 Å³/atom
ΔE to the lowest computed polymorph: 0.0 kJ/mol of atoms
Total magnetic moment: 0.0 μB per formula unit

=====

Cu3SnSe3: relaxed, PBE.

Lattice parameters (Å, degrees): 6.9557 6.9557 8.0966 64.56 64.56 60.00
With the nearest neighbours (Å) after each atom.
Positions (direct):
Cu  0.1375  0.4756  0.6093  4 Se 2.45-2.53, 2 Cu 2.71
Cu  0.7776  0.1375  0.6093  4 Se 2.45-2.53, 2 Cu 2.71
Cu  0.2224  0.8625  0.3907  4 Se 2.45-2.53, 2 Cu 2.71
Cu  0.5244  0.2224  0.3907  4 Se 2.45-2.53, 2 Cu 2.71
Cu  0.4756  0.7776  0.6093  4 Se 2.45-2.53, 2 Cu 2.71
Cu  0.8625  0.5244  0.3907  4 Se 2.45-2.53, 2 Cu 2.71
Sn  0.3365  0.3365  0.9906  6 Se 2.95-2.99
Sn  0.6635  0.6635  0.0094  6 Se 2.95-2.99
Se  0.0804  0.7641  0.7418  4 Cu 2.45-2.53
Se  0.2359  0.5863  0.2582  4 Cu 2.45-2.53
Se  0.9196  0.2359  0.2582  4 Cu 2.45-2.53
Se  0.4137  0.0804  0.7418  4 Cu 2.45-2.53
Se  0.5863  0.9196  0.2582  4 Cu 2.45-2.53
Se  0.7641  0.4137  0.7418  4 Cu 2.45-2.53

## Properties
Uncorrected energy: -4.01 eV/atom
SG: No. 148
Calculated volume: 21.041 Å³/atom
Total magnetic moment: 0.0 μB per formula unit

=====

no.,ΔE_f (raw) (eV per atom)
1,-0.250
2,-0.045
3,-0.012
4,-0.258
5,0.031
6,-0.327
7,0.163
8,-0.098
9,-0.013
10,-0.280
11,-0.311
12,-0.191